[1]
The following is a DFT calculation (PBE-GGA) of an optimized crystal structure of CaAl2As.

## Properties
Offset from the most stable computed form: 64 meV per atom
Calculated total energy: -3.79 eV/atom
ΔH_f (0 K): -258 meV/atom

The structure in POSCAR format:
```
CaAl2As
1.0
2.819 -3.555 0.000
2.819 3.555 0.000
0.000 0.000 4.708
Ca Al As
1 2 1
direct
0.000 0.000 0.000 Ca
0.312 0.688 0.500 Al
0.688 0.312 0.500 Al
0.500 0.500 0.000 As
```

=====

[2]
The following is a DFT calculation (PBE-GGA) of an optimized crystal structure of ScCoHg2.

## Properties
Calculated total energy: -3.47 eV/atom
ΔH_f (0 K): 43 meV/atom

The structure in POSCAR format:
```
ScCoHg2
1.0
0.000 3.341 3.341
3.341 0.000 3.341
3.341 3.341 0.000
Sc Co Hg
1 1 2
direct
0.000 0.000 0.000 Sc
0.250 0.250 0.250 Co
0.500 0.500 0.500 Hg
0.750 0.750 0.750 Hg
```

=====

[3]
The following is a DFT calculation (PBE-GGA) of an optimized crystal structure of UGaFe.

## Properties
Calculated total energy: -7.80 eV/atom
ΔH_f (0 K): -207 meV/atom

The structure in POSCAR format:
```
UGaFe
1.0
6.560 0.000 0.000
-3.280 5.681 0.000
0.000 0.000 3.978
U Ga Fe
3 3 3
direct
0.000 0.423 0.000 U
0.423 0.000 0.000 U
0.577 0.577 0.000 U
0.000 0.763 0.500 Ga
0.237 0.237 0.500 Ga
0.763 0.000 0.500 Ga
0.000 0.000 0.000 Fe
0.333 0.667 0.500 Fe
0.667 0.333 0.500 Fe
```

=====

[4]
The following is a DFT calculation (PBE-GGA) of an optimized crystal structure of InCo2Cu.

## Properties
Calculated total energy: -5.09 eV/atom
ΔH_f (0 K): 167 meV/atom

The structure in POSCAR format:
```
InCo2Cu
1.0
4.782 0.000 0.000
0.000 4.253 0.000
-0.119 0.000 5.372
In Co Cu
2 4 2
direct
0.000 0.000 0.000 In
0.293 0.500 0.484 In
0.515 0.000 0.252 Co
0.784 0.500 0.241 Co
0.811 0.500 0.728 Co
0.939 0.000 0.499 Co
0.351 0.500 0.985 Cu
0.494 0.000 0.752 Cu
```

=====

[5]
The following is a DFT calculation (PBE-GGA) of an optimized crystal structure of Sb2Pd12Pt5.

## Properties
Calculated total energy: -5.43 eV/atom
Uncorrected formation energy: -0.125 eV/atom

The structure in POSCAR format:
```
Sb2Pd12Pt5
1.0
5.983 -4.248 0.000
5.983 4.248 0.000
-0.033 0.000 6.145
Sb Pd Pt
2 12 5
direct
0.239 0.761 0.000 Sb
0.761 0.239 0.000 Sb
0.054 0.054 0.699 Pd
0.057 0.555 0.199 Pd
0.133 0.661 0.610 Pd
0.339 0.867 0.390 Pd
0.377 0.377 0.901 Pd
0.445 0.943 0.801 Pd
0.555 0.057 0.199 Pd
0.623 0.623 0.099 Pd
0.661 0.133 0.610 Pd
0.867 0.339 0.390 Pd
0.943 0.445 0.801 Pd
0.946 0.946 0.301 Pd
0.164 0.164 0.100 Pt
0.267 0.267 0.498 Pt
0.500 0.500 0.500 Pt
0.733 0.733 0.502 Pt
0.836 0.836 0.900 Pt
```

=====

[6]
The following is a DFT calculation (PBE-GGA) of an optimized crystal structure of La6PaS12.

## Properties
Calculated total energy: -6.66 eV/atom
Uncorrected formation energy: -1.999 eV/atom

The structure in POSCAR format:
```
La6PaS12
1.0
6.230 3.597 3.941
-6.230 3.597 3.941
0.000 -7.194 3.941
La Pa S
6 1 12
direct
0.124 0.639 0.803 La
0.197 0.876 0.361 La
0.361 0.197 0.876 La
0.639 0.803 0.124 La
0.803 0.124 0.639 La
0.876 0.361 0.197 La
0.500 0.500 0.500 Pa
0.062 0.322 0.916 S
0.084 0.938 0.678 S
0.184 0.540 0.437 S
0.322 0.916 0.062 S
0.437 0.184 0.540 S
0.460 0.563 0.816 S
0.540 0.437 0.184 S
0.563 0.816 0.460 S
0.678 0.084 0.938 S
0.816 0.460 0.563 S
0.916 0.062 0.322 S
0.938 0.678 0.084 S
```

=====

[7]
The following is a DFT calculation (PBE-GGA) of an optimized crystal structure of Zr3FeTc.

## Properties
Offset from the most stable computed form: 0 meV per atom
Calculated total energy: -8.35 eV/atom
ΔH_f (0 K): 540 meV/atom

The structure in POSCAR format:
```
Zr3FeTc
1.0
4.716 0.000 0.000
0.000 4.716 0.000
0.000 0.000 4.716
Zr Fe Tc
3 1 1
direct
0.000 0.000 0.500 Zr
0.000 0.500 0.000 Zr
0.500 0.000 0.000 Zr
0.000 0.000 0.000 Fe
0.500 0.500 0.500 Tc
```

=====

[8]
The following is a DFT calculation (PBE-GGA) of an optimized crystal structure of BP.

## Properties
Calculated total energy: -6.35 eV/atom
ΔH_f (0 K): -309 meV/atom

The structure in POSCAR format:
```
BP
1.0
1.610 0.930 5.254
-1.610 0.930 5.254
0.000 -1.859 5.254
B P
2 2
direct
0.056 0.056 0.056 B
0.944 0.944 0.944 B
0.430 0.430 0.430 P
0.570 0.570 0.570 P
```

=====

[9]
The following is a DFT calculation (PBE-GGA) of an optimized crystal structure of NpAlTl2Se4.

## Properties
Calculated total energy: -5.09 eV/atom
Uncorrected formation energy: -0.674 eV/atom

The structure in POSCAR format:
```
NpAlTl2Se4
1.0
-4.137 4.393 6.044
4.137 -4.393 6.044
4.137 4.393 -6.044
Np Al Tl Se
2 2 4 8
direct
0.000 0.000 0.000 Np
0.500 0.000 0.500 Np
0.500 0.000 0.000 Al
0.500 0.500 0.500 Al
0.000 0.000 0.500 Tl
0.000 0.500 0.000 Tl
0.000 0.500 0.500 Tl
0.500 0.500 0.000 Tl
0.278 0.255 0.476 Se
0.278 0.802 0.024 Se
0.290 0.240 0.050 Se
0.310 0.760 0.550 Se
0.690 0.240 0.450 Se
0.710 0.760 0.950 Se
0.722 0.198 0.976 Se
0.722 0.745 0.524 Se
```

=====

[10]
The following is a DFT calculation (PBE-GGA) of an optimized crystal structure of AlVGa2.

## Properties
Calculated total energy: -4.96 eV/atom
ΔH_f (0 K): -233 meV/atom

The structure in POSCAR format:
```
AlVGa2
1.0
-1.866 1.866 4.230
1.866 -1.866 4.230
1.866 1.866 -4.230
Al V Ga
1 1 2
direct
0.000 0.000 0.000 Al
0.250 0.750 0.500 V
0.500 0.500 0.000 Ga
0.750 0.250 0.500 Ga
```

=====

[11]
The following is a DFT calculation (PBE-GGA) of an optimized crystal structure of Ac3CeTe6.

## Properties
Offset from the most stable computed form: 110 meV per atom
Calculated total energy: -5.08 eV/atom
Uncorrected formation energy: -1.368 eV/atom

The structure in POSCAR format:
```
Ac3CeTe6
1.0
7.302 -4.308 0.000
7.302 4.308 0.000
-4.503 0.000 6.916
Ac Ce Te
3 1 6
direct
0.000 0.000 0.000 Ac
0.249 0.249 0.697 Ac
0.751 0.751 0.303 Ac
0.500 0.500 0.500 Ce
0.164 0.660 0.656 Te
0.258 0.258 0.104 Te
0.340 0.836 0.344 Te
0.660 0.164 0.656 Te
0.742 0.742 0.896 Te
0.836 0.340 0.344 Te
```

=====

[12]
The following is a DFT calculation (PBE-GGA) of an optimized crystal structure of Pm2Hg2Au.

## Properties
Offset from the most stable computed form: 52 meV per atom
Calculated total energy: -3.15 eV/atom
ΔH_f (0 K): -477 meV/atom

The structure in POSCAR format:
```
Pm2Hg2Au
1.0
1.870 -10.107 0.000
1.870 10.107 0.000
0.000 0.000 3.535
Pm Hg Au
2 2 1
direct
0.094 0.906 0.000 Pm
0.906 0.094 0.000 Pm
0.306 0.694 0.500 Hg
0.694 0.306 0.500 Hg
0.500 0.500 0.500 Au
```

=====

Question: Among the records above, which one has the highest calculated total energy?
Answer: Pm2Hg2Au